[1]
LaZrCl after structural relaxation, computed with PBE.

Cell lengths 5.444, 5.444, 17.908 Å; angles 90.00, 90.00, 120.00 degrees
Atoms (fractional coordinates):
Cl 0.000 0.000 0.334
La 0.000 0.000 0.000
La 0.333 0.667 0.667
Cl 0.667 0.333 0.667
Zr 0.333 0.667 0.854
Cl 0.000 0.000 0.666
La 0.667 0.333 0.333
Cl 0.667 0.333 0.999
Zr 0.667 0.333 0.521
Zr 0.000 0.000 0.188
Zr 0.000 0.000 0.812
Cl 0.333 0.667 0.001
Zr 0.333 0.667 0.479
La 0.667 0.333 0.833
La 0.000 0.000 0.500
La 0.333 0.667 0.167
Zr 0.667 0.333 0.146
Cl 0.333 0.667 0.333

Its space group is R-3m, No. 166. The offset from the most stable computed form comes out at 31.9 kJ/mol of formula units. The energy relative to the elements, uncorrected is -0.800 eV per atom. Its density of states at the Fermi level is 3.5 states/eV/f.u. As for the raw total energy: -5.907 eV/atom.

[2]
La4Sm2Y after structural relaxation, computed with PBE.

Cell lengths 6.974, 9.188, 9.188 Å; angles 79.07, 67.62, 67.62 degrees
Atoms (fractional coordinates):
La 0.149 0.354 0.349
Sm 0.500 0.500 0.500
Sm 0.500 0.000 0.000
Y 0.500 0.500 0.000
La 0.149 0.849 0.854
La 0.212 0.757 0.257
La 0.851 0.151 0.146
Sm 0.717 0.033 0.533
La 0.774 0.757 0.257
La 0.851 0.646 0.651
La 0.788 0.243 0.743
La 0.226 0.243 0.743
Y 0.000 0.500 0.000
Sm 0.283 0.967 0.467

Its space group is C2/m, No. 12. The offset from the most stable computed form comes out at 126.1 kJ/mol of formula units. Its density of states at the Fermi level is 9.8 states/eV/f.u. As for the raw total energy: -4.882 eV/atom.